A geometry-optimized PuTl6Br12 structure, computed with PBE-GGA. Values from VASP.

```
&SYSTEM
  ibrav = 0, nat = 19, ntyp = 3
/
ATOMIC_SPECIES
Br 79.90 Br.upf
Tl 204.38 Tl.upf
Pu 244.00 Pu.upf
ATOMIC_POSITIONS crystal
Br 0.581 0.829 0.429
Br 0.016 0.935 0.703
Br 0.419 0.171 0.571
Br 0.297 0.984 0.065
Br 0.429 0.581 0.829
Br 0.065 0.297 0.984
Br 0.935 0.703 0.016
Br 0.703 0.016 0.935
Br 0.984 0.065 0.297
Br 0.171 0.571 0.419
Br 0.829 0.429 0.581
Br 0.571 0.419 0.171
Tl 0.665 0.365 0.845
Tl 0.845 0.665 0.365
Tl 0.155 0.335 0.635
Tl 0.335 0.635 0.155
Tl 0.635 0.155 0.335
Tl 0.365 0.845 0.665
Pu 0.000 0.000 0.000
CELL_PARAMETERS angstrom
8.985 0.617 -1.858
-2.396 8.681 -1.858
0.437 0.617 9.164
```

Computed properties:
VASP energy   -3.41 eV per atom
Crystal system   trigonal
Space group   R-3 (148)